Compound: ScAlTc2
Source: Alexandria via LeMat-Bulk
Functional: PBE-GGA
Structure: optimized geometry Values from VASP.

Values from the calculation:
Total DFT energy (no corrections) (Ry/atom): -0.570
Energy of formation from the pure elements (eV/atom): -0.056
Energy relative to the lowest polymorph listed for this composition (meV/atom): 251
Symmetry: No. 139

Cell and atoms, written as Quantum ESPRESSO input:
```
&SYSTEM
  ibrav = 0, nat = 8, ntyp = 3
/
ATOMIC_SPECIES
Sc 44.96 Sc.upf
Al 26.98 Al.upf
Tc 98.00 Tc.upf
ATOMIC_POSITIONS crystal
Sc 0.0000 0.0000 0.0000
Sc 0.5000 0.5000 0.5000
Al 0.0000 0.0000 0.5000
Al 0.5000 0.5000 0.0000
Tc 0.0000 0.5000 0.2500
Tc 0.0000 0.5000 0.7500
Tc 0.5000 0.0000 0.2500
Tc 0.5000 0.0000 0.7500
CELL_PARAMETERS angstrom
3.8787 0.0000 0.0000
0.0000 3.8787 0.0000
0.0000 0.0000 8.5450
```